# 1
! BaCr2Cl GGA-PBE relaxed; values from VASP
&SYSTEM
  ibrav = 0, nat = 8, ntyp = 3
/
ATOMIC_SPECIES
Cr 52.00 Cr.upf
Cl 35.45 Cl.upf
Ba 137.33 Ba.upf
CELL_PARAMETERS angstrom
-3.8000 0.4734 2.7179
2.7067 -0.2553 3.8288
0.5225 9.4528 3.1405
ATOMIC_POSITIONS angstrom
Cr -1.2414 7.3443 7.1265
Cl 1.3413 4.6533 5.1213
Cr 0.3973 2.3812 4.1973
Cl -0.5466 0.1091 3.2733
Ba -1.9120 5.0177 4.5659
Ba 0.0000 0.0000 0.0000
Cr -0.9560 2.5088 2.2829
Cr 0.6586 7.1076 5.7676
! **Uncorrected formation energy**: 586 meV/atom
! **Final energy**: -5.168 eV/atom
! **Space-group type**: I4_1/amd, No. 141
! **Density of states at the Fermi level**: 4.2 states/eV/f.u.

# 2
! Ba2CrCl GGA-PBE relaxed; values from VASP
&SYSTEM
  ibrav = 0, nat = 8, ntyp = 3
/
ATOMIC_SPECIES
Ba 137.33 Ba.upf
Cl 35.45 Cl.upf
Cr 52.00 Cr.upf
CELL_PARAMETERS angstrom
-1.2187 2.5774 8.1996
6.5801 -5.0482 2.5649
5.6570 2.3036 4.7122
ATOMIC_POSITIONS angstrom
Ba 5.3399 -2.1840 4.0386
Cl 7.4589 -1.9900 6.3296
Cl 2.6807 -1.2354 5.3822
Ba 6.4399 0.6580 7.6435
Ba 8.7474 -0.2911 12.8802
Ba 1.5096 1.4827 6.3908
Cr 3.5595 1.8228 9.1470
Cr 0.0000 0.0000 0.0000
! **Uncorrected formation energy**: -289 meV/atom
! **Final energy**: -4.118 eV/atom
! **Space-group type**: I-42d, No. 122
! **Density of states at the Fermi level**: 3.7 states/eV/f.u.

# 3
! BaCrCl5 GGA-PBE relaxed; values from VASP
&SYSTEM
  ibrav = 0, nat = 14, ntyp = 3
/
ATOMIC_SPECIES
Cl 35.45 Cl.upf
Cr 52.00 Cr.upf
Ba 137.33 Ba.upf
CELL_PARAMETERS angstrom
-4.1772 2.6887 -5.9301
0.1670 -7.2593 2.6682
-3.4641 1.4888 9.4708
ATOMIC_POSITIONS angstrom
Cl -4.8788 0.0764 2.3524
Cl -5.3365 -3.8670 5.5088
Cr -3.8207 2.0888 1.7704
Cl -5.0131 2.0140 -0.2477
Cl -4.3503 1.2850 7.3073
Cr 0.0000 0.0000 0.0000
Cl -0.7796 -2.1728 0.4141
Ba -3.5151 -1.7910 6.9903
Cl -6.6947 -0.9090 5.7949
Cl -2.1377 0.7852 0.7002
Cl -3.1240 -4.3668 -1.0983
Ba -3.9592 -1.2908 -0.7814
Cl -2.4612 -5.0957 6.4567
Cl -2.5955 -3.1582 3.8566
! **Uncorrected formation energy**: -1651 meV/atom
! **Final energy**: -4.619 eV/atom
! **Space-group type**: C2/c, No. 15
! **Density of states at the Fermi level**: 0.2 states/eV/f.u.